(1)
! CdSb2Ir PBE-GGA relaxed; values from VASP
&SYSTEM
  ibrav = 0, nat = 4, ntyp = 3
/
ATOMIC_SPECIES
Cd 112.41 Cd.upf
Sb 121.76 Sb.upf
Ir 192.22 Ir.upf
CELL_PARAMETERS angstrom
0.0000 3.5056 3.5056
3.5056 0.0000 3.5056
3.5056 3.5056 0.0000
ATOMIC_POSITIONS crystal
Cd 0.0000 0.0000 0.0000
Sb 0.5000 0.5000 0.5000
Sb 0.7500 0.7500 0.7500
Ir 0.2500 0.2500 0.2500
! crystal system = cubic
! formation energy (no corrections) = 456.7 meV per atom
! excess energy over the best structure of this formula in the dataset = 50.0 kJ per mole of atoms
! total DFT energy (no corrections) = -16.19 eV per cell



(2)
! LaHo2Cd PBE-GGA relaxed; values from VASP
&SYSTEM
  ibrav = 0, nat = 4, ntyp = 3
/
ATOMIC_SPECIES
La 138.91 La.upf
Ho 164.93 Ho.upf
Cd 112.41 Cd.upf
CELL_PARAMETERS angstrom
0.0000 3.8716 3.8716
3.8716 0.0000 3.8716
3.8716 3.8716 0.0000
ATOMIC_POSITIONS crystal
La 0.0000 0.0000 0.0000
Ho 0.2500 0.2500 0.2500
Ho 0.7500 0.7500 0.7500
Cd 0.5000 0.5000 0.5000
! crystal system = cubic
! excess energy over the best structure of this formula in the dataset = 17.9 kJ per mole of atoms
! energy of formation = 40 meV/atom
! total DFT energy (no corrections) = -14.84 eV per cell



(3)
! Y3Ga2Cu PBE-GGA relaxed; values from VASP
&SYSTEM
  ibrav = 0, nat = 24, ntyp = 3
/
ATOMIC_SPECIES
Y 88.91 Y.upf
Ga 69.72 Ga.upf
Cu 63.55 Cu.upf
CELL_PARAMETERS angstrom
11.7018 0.0000 0.0000
0.0000 4.3147 0.0000
0.0000 0.0000 11.1727
ATOMIC_POSITIONS crystal
Y 0.0521 0.2500 0.1298
Y 0.1251 0.7500 0.5666
Y 0.2170 0.2500 0.8059
Y 0.2830 0.7500 0.3059
Y 0.3749 0.2500 0.0666
Y 0.4479 0.7500 0.6298
Y 0.5521 0.2500 0.3702
Y 0.6251 0.7500 0.9334
Y 0.7170 0.2500 0.6941
Y 0.7830 0.7500 0.1941
Y 0.8749 0.2500 0.4334
Y 0.9479 0.7500 0.8702
Ga 0.0182 0.7500 0.3175
Ga 0.1889 0.7500 0.0070
Ga 0.3111 0.2500 0.5070
Ga 0.4818 0.2500 0.8175
Ga 0.5182 0.7500 0.1825
Ga 0.6889 0.7500 0.4930
Ga 0.8111 0.2500 0.9930
Ga 0.9818 0.2500 0.6825
Cu 0.1255 0.2500 0.3811
Cu 0.3745 0.7500 0.8811
Cu 0.6255 0.2500 0.1189
Cu 0.8745 0.7500 0.6189
! crystal system = orthorhombic
! energy of formation = -502 meV/atom
! total DFT energy (no corrections) = -130.22 eV per cell



(4)
! Er2BeSi4Pt3 PBE-GGA relaxed; values from VASP
&SYSTEM
  ibrav = 0, nat = 10, ntyp = 4
/
ATOMIC_SPECIES
Er 167.26 Er.upf
Be 9.01 Be.upf
Si 28.09 Si.upf
Pt 195.08 Pt.upf
CELL_PARAMETERS angstrom
3.9888 0.0000 0.0000
0.0000 3.9888 0.0000
0.0000 0.0000 10.4635
ATOMIC_POSITIONS crystal
Er 0.0000 0.5000 0.2364
Er 0.5000 0.0000 0.7636
Be 0.5000 0.5000 0.0000
Si 0.0000 0.0000 0.5000
Si 0.0000 0.5000 0.8656
Si 0.5000 0.0000 0.1344
Si 0.5000 0.5000 0.5000
Pt 0.0000 0.0000 0.0000
Pt 0.0000 0.5000 0.6344
Pt 0.5000 0.0000 0.3656
! crystal system = tetragonal
! formation energy (no corrections) = -941.7 meV per atom
! total DFT energy (no corrections) = -62.08 eV per cell